DFT (GGA-PBE) results for a relaxed structure of Cu2GeI4.

Calculated values
- crystal system = tetragonal
- ΔE_f (raw) (eV per atom) = -0.155
- space-group type = P-42m, No. 111

The structure in POSCAR format:
```
Cu2GeI4
1.0
6.1750 0.0000 0.0000
0.0000 6.1750 0.0000
0.0000 0.0000 6.5084
Cu I Ge
2 4 1
Direct
0.0000 0.5000 0.5000
0.5000 0.0000 0.5000
0.2645 0.7355 0.7269
0.2645 0.2645 0.2731
0.7355 0.2645 0.7269
0.7355 0.7355 0.2731
0.0000 0.0000 0.0000
```



DFT (GGA-PBE) results for a relaxed structure of Nb2VOs.

Calculated values
- crystal system = orthorhombic
- energy of formation (meV/atom) = 617
- space-group type = Immm, No. 71

The structure in POSCAR format:
```
Nb2VOs
1.0
-1.2030 5.5711 -1.3787
0.7491 -4.9649 -3.0288
-1.7434 -5.3295 1.7154
V Nb Os
1 2 1
Direct
0.0000 0.0000 0.0000
0.0000 0.7434 0.7434
0.0000 0.2566 0.2566
0.0000 0.5000 0.5000
```



DFT (GGA-PBE) results for a relaxed structure of CeTmW4.

Calculated values
- crystal system = cubic
- energy of formation (meV/atom) = 178
- space-group type = F-43m, No. 216

The structure in POSCAR format:
```
CeTmW4
1.0
-2.2754 0.6002 5.0132
-5.5051 -0.1642 0.5799
-2.3941 -4.3285 2.4904
W Tm Ce
4 1 1
Direct
0.6248 0.6248 0.1256
0.6248 0.6248 0.6248
0.6248 0.1256 0.6248
0.1256 0.6248 0.6248
0.0000 0.0000 0.0000
0.2500 0.2500 0.2500
```



DFT (GGA-PBE) results for a relaxed structure of NdSm4Dy.

Calculated values
- crystal system = orthorhombic
- energy of formation (meV/atom) = 235
- space-group type = Cmcm, No. 63

The structure in POSCAR format:
```
NdSm4Dy
1.0
-2.0392 -1.3969 -6.5832
-3.7203 -2.2361 5.5323
-5.1751 8.2468 -0.1468
Sm Nd Dy
8 2 2
Direct
0.8449 0.6348 0.2500
0.6348 0.8449 0.7500
0.3471 0.6529 0.0726
0.1551 0.3652 0.7500
0.3652 0.1551 0.2500
0.3471 0.6529 0.4274
0.6529 0.3471 0.5726
0.6529 0.3471 0.9274
0.8221 0.1779 0.2500
0.1779 0.8221 0.7500
0.0000 0.0000 0.5000
0.0000 0.0000 0.0000
```



DFT (GGA-PBE) results for a relaxed structure of Li3Sm3PuS8.

Calculated values
- crystal system = trigonal
- ΔE_f (raw) (eV per atom) = -1.704
- space-group type = R-3m, No. 166

The structure in POSCAR format:
```
Li3Sm3PuS8
1.0
8.0409 0.0000 0.0000
-4.0205 6.9621 -0.0244
0.0000 -4.6239 6.1725
S Sm Pu Li
8 3 1 3
Direct
0.2412 0.4823 0.7447
0.7588 0.9963 0.2553
0.7513 0.5025 0.7536
0.2487 0.4975 0.2464
0.2375 0.9963 0.2553
0.7625 0.0037 0.7447
0.7588 0.5177 0.2553
0.2412 0.0037 0.7447
0.5000 0.5000 0.5000
0.0000 0.5000 0.5000
0.5000 0.0000 0.5000
0.0000 0.0000 0.5000
0.0000 0.5000 0.0000
0.0000 0.0000 0.0000
0.5000 0.5000 0.0000
```



DFT (GGA-PBE) results for a relaxed structure of Rb5Hg2O.

Calculated values
- crystal system = monoclinic
- ΔE_f (raw) (eV per atom) = -0.424
- space-group type = Cm, No. 8

The structure in POSCAR format:
```
Rb5Hg2O
1.0
-3.4597 5.3828 3.9956
-3.8770 -4.4314 -4.7159
-2.4201 -4.9049 5.6419
Hg O Rb
2 1 5
Direct
0.6947 0.1981 0.4288
0.1981 0.6947 0.4288
0.9768 0.9768 0.8632
0.1784 0.1784 0.5298
0.9783 0.3094 0.9415
0.6973 0.6973 0.6995
0.3095 0.9783 0.9415
0.7439 0.7439 0.1669
```



DFT (GGA-PBE) results for a relaxed structure of ZrPF3.

Calculated values
- crystal system = cubic
- ΔE_f (raw) (eV per atom) = -0.555
- space-group type = Pm-3m, No. 221

The structure in POSCAR format:
```
ZrPF3
1.0
4.2828 0.0000 0.0000
0.0000 4.2828 0.0000
0.0000 0.0000 4.2828
F Zr P
3 1 1
Direct
0.5000 0.0000 0.0000
0.0000 0.5000 0.0000
0.0000 0.0000 0.5000
0.5000 0.5000 0.5000
0.0000 0.0000 0.0000
```



DFT (GGA-PBE) results for a relaxed structure of BRh3Pb.

Calculated values
- crystal system = monoclinic
- energy of formation (meV/atom) = -15
- space-group type = C2/m, No. 12

The structure in POSCAR format:
```
BRh3Pb
1.0
13.8346 0.0000 -3.9828
5.6112 2.0522 -4.4898
-5.6112 2.0522 4.4898
Rh Pb B
6 2 2
Direct
0.6020 0.1034 0.8966
0.1907 0.6989 0.3011
0.1084 0.5870 0.4130
0.3980 0.8966 0.1034
0.8916 0.4130 0.5870
0.8093 0.3011 0.6989
0.2974 0.7880 0.2120
0.7026 0.2120 0.7880
0.2058 0.1950 0.8050
0.7942 0.8050 0.1950
```